Below is a PBEsol-optimized structure of PrAu, with properties calculated at the meta-GGA SCAN level.

Results
Fermi-level density of states: 1.2 states/eV per cell
mass density: 11297 kg/m3
ΔE_f: -0.971 eV/atom

abc: 3.6758 3.6758 3.6758
angles: 90.00 90.00 90.00
Last column: nearest neighbours and their distance in Å.
Space group Pm-3m (No. 221)
Inequivalent atoms, fractional coordinates:
Pr: 0.0000 0.0000 0.0000 [1 per cell]  8 Au 3.18
Au: 0.5000 0.5000 0.5000 [1 per cell]  8 Pr 3.18